Below is a geometry-optimized FeMoO4 structure, with properties calculated at the PBE with a Hubbard U level.

a = 5.6336 Å, b = 7.0386 Å, c = 8.7387 Å
α = 90.00°, β = 90.00°, γ = 98.91°
With the nearest neighbours (Å) after each atom.
Positions (direct):
Fe 0.2728 0.1095 0.9475  5 O 2.07-2.17
Fe 0.2272 0.3905 0.4475  5 O 2.07-2.17
Fe 0.7728 0.6095 0.5525  5 O 2.07-2.17
Fe 0.7272 0.8905 0.0525  5 O 2.07-2.17
Mo 0.7578 0.1041 0.6886  4 O 1.77-1.83
Mo 0.7422 0.3959 0.1886  4 O 1.77-1.83
Mo 0.2578 0.6041 0.8114  4 O 1.77-1.83
Mo 0.2422 0.8959 0.3114  4 O 1.77-1.83
O 0.2783 0.0972 0.4361  1 Mo 1.77
O 0.9154 0.0412 0.8605  1 Mo 1.83
O 0.5848 0.1849 0.0900  1 Mo 1.82
O 0.4736 0.1570 0.7487  1 Mo 1.78
O 0.0264 0.3430 0.2487  1 Mo 1.78
O 0.9152 0.3151 0.5900  1 Mo 1.82
O 0.5846 0.4588 0.3605  1 Mo 1.83
O 0.7783 0.5972 0.0639  1 Mo 1.77
O 0.2217 0.4028 0.9361  1 Mo 1.77
O 0.4154 0.5412 0.6395  1 Mo 1.83
O 0.0848 0.6849 0.4100  1 Mo 1.82
O 0.9736 0.6570 0.7513  1 Mo 1.78
O 0.5264 0.8430 0.2513  1 Mo 1.78
O 0.4152 0.8151 0.9100  1 Mo 1.82
O 0.0846 0.9588 0.1395  1 Mo 1.83
O 0.7217 0.9028 0.5639  1 Mo 1.77

crystal system: monoclinic
space group: No. 14
ΔE to the lowest computed polymorph: 0.41 kcal/mol of atoms
calculated total energy: -6.9928 eV/atom